Record 1
Compound: SrIrBr2
Source: the Alexandria database
Functional: PBE
Structure: relaxed

Computed properties:
The calculation puts the density of states at the Fermi level at 0.665 states/eV per cell.

a b c (Å): 5.0578 4.2244 5.0811
angles (deg): 90.00 97.81 90.00
Last column: nearest neighbours and their distance in Å.
Element x y z (fractional)
Sr: 0.0000 0.0000 0.0000  4 Br 3.09, 2 Ir 3.33
Ir: 0.5000 0.0000 0.5000  4 Br 2.63
Br: 0.2951 0.5000 0.7051  2 Ir 2.63
Br: 0.7049 0.5000 0.2949  2 Ir 2.63

=====

Record 2
Compound: SrIrBr2
Source: the Alexandria database
Functional: PBE
Structure: relaxed

Computed properties:
The calculation puts the density of states at the Fermi level at 0.959 states/eV per cell.

a b c (Å): 6.7494 6.7494 6.7494
angles (deg): 145.59 136.21 56.85
Last column: nearest neighbours and their distance in Å.
Element x y z (fractional)
Sr: 0.0000 0.0000 0.0000  4 Br 3.08, 4 Ir 3.21
Ir: 0.5000 0.5000 0.0000  4 Br 2.67
Br: 0.3509 0.8509 0.5000  2 Ir 2.67
Br: 0.6491 0.1491 0.5000  2 Ir 2.67

=====

Record 3
Compound: SrIrBr2
Source: the Alexandria database
Functional: PBE
Structure: relaxed

Computed properties:
The calculation puts the density of states at the Fermi level at 3.180 states/eV per cell.

a b c (Å): 4.8705 4.8705 3.9157
angles (deg): 90.00 90.00 90.00
Last column: nearest neighbours and their distance in Å.
Element x y z (fractional)
Sr: 0.0000 0.0000 0.0000  8 Br 3.12, 4 Ir 3.44
Ir: 0.5000 0.5000 0.0000  8 Br 3.12, 4 Sr 3.44
Br: 0.0000 0.5000 0.5000  4 Ir 3.12, 4 Sr 3.12, 4 Br 3.44
Br: 0.5000 0.0000 0.5000  4 Ir 3.12, 4 Sr 3.12, 4 Br 3.44

=====

Record 4
Compound: SrIrBr
Source: the Alexandria database
Functional: PBE
Structure: relaxed

Computed properties:
The calculation puts the density of states at the Fermi level at 0.648 states/eV per cell.

a b c (Å): 5.2377 5.2377 5.2377
angles (deg): 60.00 60.00 60.00
Last column: nearest neighbours and their distance in Å.
Element x y z (fractional)
Sr: 0.0000 0.0000 0.0000  4 Br 3.21, 4 Ir 3.21
Ir: 0.2500 0.2500 0.2500  4 Sr 3.21
Br: 0.7500 0.7500 0.7500  4 Sr 3.21

=====

Record order is preserved below.
Uncorrected formation energy: -8.49, -11.53, -4.19, 6.52 kcal/mol of atoms
Record order is preserved below.
V: 107.6, 119.3, 92.9, 101.6 Å³ per cell